Compound: Ni
Source: OQMD
Functional: PBE
Structure: relaxed

The value obtained for the formation energy from the elements is 9.5 kJ/mol of formula units. Its distance to the lowest polymorph of the same formula is 98.2 meV/atom.

It has space group P4_2/mnm (No. 136), with a = 8.525 Å, b = 8.525 Å, c = 4.514 Å, α = 90.00°, β = 90.00° and γ = 90.00°. The inequivalent atoms are Ni at (0.000, 0.000, 0.000), Ni at (0.037, 0.367, 0.500), Ni at (0.066, 0.265, 0.000), Ni at (0.099, 0.099, 0.500) and Ni at (0.182, 0.818, 0.251).